DFT (PBE+U) results for a relaxed structure of MnGeBiO6.

The structure in CIF format:
```
data_MnGeBiO6
_space_group_name_H-M_alt 'P 42 n m'
_space_group_IT_number 102
_cell_length_a 4.659
_cell_length_b 4.659
_cell_length_c 9.598
_cell_angle_alpha 90.00
_cell_angle_beta 90.00
_cell_angle_gamma 90.00
loop_
_space_group_symop_operation_xyz
'x,y,z'
'-y+1/2,x+1/2,z+1/2'
'-x,-y,z'
'y+1/2,-x+1/2,z+1/2'
'-x+1/2,y+1/2,z+1/2'
'y,x,z'
'x+1/2,-y+1/2,z+1/2'
'-y,-x,z'
loop_
_atom_site_label
_atom_site_type_symbol
_atom_site_fract_x
_atom_site_fract_y
_atom_site_fract_z
_atom_site_occupancy
Mn1 Mn 0.000 0.000 0.000 1
Ge1 Ge 0.000 0.000 0.336 1
Bi1 Bi 0.000 0.000 0.671 1
O1 O 0.180 0.180 0.177 1
O2 O 0.199 0.199 0.490 1
O3 O 0.211 0.211 0.842 1
```

Computed properties:
As for the raw total energy: -6.303 eV/atom.